# MgScCd2 PBE optimized geometry
data_MgScCd2
_cell_length_a 4.932
_cell_length_b 4.932
_cell_length_c 4.932
_cell_angle_alpha 119.89
_cell_angle_beta 119.89
_cell_angle_gamma 90.19
_symmetry_space_group_name_H-M 'P 1'
_symmetry_Int_Tables_number 1
loop_
_symmetry_equiv_pos_as_xyz
'x,y,z'
loop_
_atom_site_label
_atom_site_type_symbol
_atom_site_fract_x
_atom_site_fract_y
_atom_site_fract_z
Cd1 Cd 0.000 0.000 0.000
Cd2 Cd 0.250 0.750 0.500
Mg1 Mg 0.500 0.500 0.000
Sc1 Sc 0.750 0.250 0.500
# Density of states at the Fermi level ... 2.08 states/eV/f.u.
# Volume ... 84.95 Å³ per cell
# Formation energy from the elements ... -149 meV/atom

---

# ZnCuTc PBE optimized geometry
data_ZnCuTc
_cell_length_a 6.259
_cell_length_b 6.259
_cell_length_c 6.259
_cell_angle_alpha 155.99
_cell_angle_beta 155.99
_cell_angle_gamma 34.21
_symmetry_space_group_name_H-M 'P 1'
_symmetry_Int_Tables_number 1
loop_
_symmetry_equiv_pos_as_xyz
'x,y,z'
loop_
_atom_site_label
_atom_site_type_symbol
_atom_site_fract_x
_atom_site_fract_y
_atom_site_fract_z
Cu1 Cu 0.002 0.002 0.000
Tc1 Tc 0.336 0.336 0.000
Zn1 Zn 0.662 0.662 0.000
# Density of states at the Fermi level ... 1.35 states/eV/f.u.
# Volume ... 40.55 Å³ per cell
# Formation energy from the elements ... 94 meV/atom
# Offset from the most stable computed form ... 125 meV/atom

---

# TlAsIr2 PBE optimized geometry
data_TlAsIr2
_cell_length_a 3.628
_cell_length_b 4.351
_cell_length_c 4.351
_cell_angle_alpha 90.00
_cell_angle_beta 90.00
_cell_angle_gamma 90.00
_symmetry_space_group_name_H-M 'P 1'
_symmetry_Int_Tables_number 1
loop_
_symmetry_equiv_pos_as_xyz
'x,y,z'
loop_
_atom_site_label
_atom_site_type_symbol
_atom_site_fract_x
_atom_site_fract_y
_atom_site_fract_z
Tl1 Tl 0.500 0.500 0.000
Ir1 Ir 0.000 0.000 0.000
Ir2 Ir 0.000 0.500 0.500
As1 As 0.500 0.000 0.500
# Density of states at the Fermi level ... 2.57 states/eV/f.u.
# Volume ... 68.68 Å³ per cell
# Formation energy from the elements ... 509 meV/atom
# Offset from the most stable computed form ... 265 meV/atom

---

# DyErScTi PBE optimized geometry
data_DyErScTi
_cell_length_a 5.267
_cell_length_b 5.267
_cell_length_c 5.267
_cell_angle_alpha 60.00
_cell_angle_beta 60.00
_cell_angle_gamma 60.00
_symmetry_space_group_name_H-M 'P 1'
_symmetry_Int_Tables_number 1
loop_
_symmetry_equiv_pos_as_xyz
'x,y,z'
loop_
_atom_site_label
_atom_site_type_symbol
_atom_site_fract_x
_atom_site_fract_y
_atom_site_fract_z
Sc1 Sc 0.750 0.750 0.750
Dy1 Dy 0.000 0.000 0.000
Ti1 Ti 0.250 0.250 0.250
Er1 Er 0.500 0.500 0.500
# Density of states at the Fermi level ... 8.33 states/eV/f.u.
# Volume ... 103.30 Å³ per cell
# Formation energy from the elements ... 214 meV/atom

---

Repeat the second record exactly.
# ZnCuTc PBE optimized geometry
data_ZnCuTc
_cell_length_a 6.259
_cell_length_b 6.259
_cell_length_c 6.259
_cell_angle_alpha 155.99
_cell_angle_beta 155.99
_cell_angle_gamma 34.21
_symmetry_space_group_name_H-M 'P 1'
_symmetry_Int_Tables_number 1
loop_
_symmetry_equiv_pos_as_xyz
'x,y,z'
loop_
_atom_site_label
_atom_site_type_symbol
_atom_site_fract_x
_atom_site_fract_y
_atom_site_fract_z
Cu1 Cu 0.002 0.002 0.000
Tc1 Tc 0.336 0.336 0.000
Zn1 Zn 0.662 0.662 0.000
# Density of states at the Fermi level ... 1.35 states/eV/f.u.
# Volume ... 40.55 Å³ per cell
# Formation energy from the elements ... 94 meV/atom
# Offset from the most stable computed form ... 125 meV/atom